1.
# In3C, relaxed, DFT PBE
# - Magnetic moment: 0.000 μB per atom
# - Formation energy: 0.5159 eV per atom
data_In3C
_chemical_formula_sum 'In12 C4'
_cell_length_a 9.6077
_cell_length_b 13.8631
_cell_length_c 2.7918
_cell_angle_alpha 90.00
_cell_angle_beta 90.00
_cell_angle_gamma 90.00
_symmetry_space_group_name_H-M 'C m c m'
_symmetry_Int_Tables_number 63
_symmetry_space_group_name_Hall '-C 2c 2'
loop_
_atom_site_label
_atom_site_fract_x
_atom_site_fract_y
_atom_site_fract_z
_atom_site_occupancy
In1 0.0000 0.1263 0.2500 1
In2 0.1689 0.3454 0.2500 1
C1 0.0000 0.4794 0.2500 1

2.
# Cs2InI6, relaxed, DFT PBE
# - ΔE_f (raw): -72.64 kJ per mole of atoms
# - Magnetic moment: 0.111 μB per atom
data_Cs2InI6
_chemical_formula_sum 'Cs4 In2 I12'
_cell_length_a 17.8301
_cell_length_b 8.4214
_cell_length_c 7.5403
_cell_angle_alpha 90.00
_cell_angle_beta 113.93
_cell_angle_gamma 90.00
_symmetry_space_group_name_H-M 'C 1 2/m 1'
_symmetry_Int_Tables_number 12
loop_
_symmetry_equiv_pos_as_xyz
'x,y,z'
'-x,-y,-z'
'-x,y,-z'
'x,-y,z'
'x+1/2,y+1/2,z'
'-x+1/2,-y+1/2,-z'
'-x+1/2,y+1/2,-z'
'x+1/2,-y+1/2,z'
loop_
_atom_site_label
_atom_site_fract_x
_atom_site_fract_y
_atom_site_fract_z
_atom_site_occupancy
Cs1 0.1703 0.0000 0.1753 1
In1 0.0000 0.5000 0.5000 1
I1 0.0000 0.3135 0.0000 1
I2 0.1252 0.2589 0.6211 1

3.
# Pm4RuAu2, relaxed, DFT PBE
# - Magnetic moment: 0.000 μB per atom
# - Formation energy: -0.3005 eV per atom
data_Pm4RuAu2
_chemical_formula_sum 'Pm8 Ru2 Au4'
_cell_length_a 5.2930
_cell_length_b 5.2930
_cell_length_c 14.9254
_cell_angle_alpha 90.00
_cell_angle_beta 90.00
_cell_angle_gamma 90.00
_symmetry_space_group_name_H-M 'I 4/m m m'
_symmetry_Int_Tables_number 139
_symmetry_space_group_name_Hall '-I 4 2'
loop_
_atom_site_label
_atom_site_fract_x
_atom_site_fract_y
_atom_site_fract_z
_atom_site_occupancy
Pm1 0.0000 0.0000 0.1883 1
Pm2 0.0000 0.5000 0.0000 1
Ru1 0.0000 0.0000 0.0000 1
Au1 0.0000 0.0000 0.3840 1